## Y3TlMo (PBE)

Data for a relaxed Y3TlMo crystal.

As for the density of states at the Fermi level: 1.5756 states/eV per atom. For the excess energy over the best structure of this formula in the dataset, the calculation gives 0.00 eV per formula unit. The formation energy from the elements comes out at 0.367 eV per atom. The space group is Pm-3m.

Unit cell a=5.384 b=5.384 c=5.384 alpha=90.00 beta=90.00 gamma=90.00
Element x y z (fractional)
Y (0.000, 0.500, 0.000)
Y (0.000, 0.000, 0.500)
Y (0.500, 0.000, 0.000)
Tl (0.500, 0.500, 0.500)
Mo (0.000, 0.000, 0.000)

=====

## Sb2MoSe (PBE)

Data for a relaxed Sb2MoSe crystal.

For the uncorrected formation energy, the calculation gives 0.663 eV/atom. As for the density of states at the Fermi level: 0.7134 states/eV per atom. The space group is P4/mmm.

Unit cell a=5.379 b=4.147 c=4.147 alpha=90.00 beta=90.00 gamma=90.00
Each line ends with the local moment (μB).
Element x y z (fractional)
Mo (0.500, 0.000, 0.500)  2.57
Sb (0.000, 0.000, 0.000)  -0.05
Sb (0.000, 0.500, 0.500)  -0.05
Se (0.500, 0.500, 0.000)  -0.03

=====

## Nd2DyNi (PBE)

Data for a relaxed Nd2DyNi crystal.

As for the density of states at the Fermi level: 1.2332 states/eV per atom. For the excess energy over the best structure of this formula in the dataset, the calculation gives 0.09 eV per formula unit. The formation energy from the elements comes out at -0.169 eV per atom. The space group is Cmcm.

Unit cell a=3.744 b=6.284 c=9.906 alpha=90.00 beta=90.00 gamma=107.35
Element x y z (fractional)
Nd (0.363, 0.726, 0.569)
Nd (0.637, 0.274, 0.431)
Nd (0.363, 0.726, 0.931)
Nd (0.637, 0.274, 0.069)
Dy (0.912, 0.824, 0.250)
Dy (0.088, 0.176, 0.750)
Ni (0.765, 0.530, 0.750)
Ni (0.235, 0.470, 0.250)

=====

## Er2Si3SnPt4 (PBE)

Data for a relaxed Er2Si3SnPt4 crystal.

For the uncorrected formation energy, the calculation gives -0.964 eV/atom. As for the density of states at the Fermi level: 0.5402 states/eV per atom. The space group is P-4m2.

Unit cell a=4.148 b=4.148 c=10.665 alpha=90.00 beta=90.00 gamma=90.00
Element x y z (fractional)
Er (0.500, 0.000, 0.232)
Er (0.000, 0.500, 0.768)
Si (0.000, 0.000, 0.500)
Si (0.500, 0.000, 0.872)
Si (0.000, 0.500, 0.128)
Sn (0.500, 0.500, 0.500)
Pt (0.500, 0.500, 0.000)
Pt (0.000, 0.000, 0.000)
Pt (0.500, 0.000, 0.654)
Pt (0.000, 0.500, 0.346)